Below is a crystal of HPtCl2 relaxed with PBEsol, with properties calculated at the SCAN level.

Calculated values
space group = R-3m, No. 166
distance to the lowest polymorph of the same formula = 0 meV per atom

Cell: 4.066 4.066 5.829 Å, 69.59 69.59 60.00°
Each line ends with the local moment (μB).
Sites, in units of the cell vectors:
H  0.000  0.000  0.000  0.00
Cl  0.902  0.902  0.293  0.11
Cl  0.098  0.098  0.707  0.11
Pt  0.500  0.500  0.500  0.74



Below is a crystal of Ba3LaInW2O12 relaxed with PBEsol, with properties calculated at the SCAN level.

Calculated values
space group = R3m, No. 160
formation energy from raw total energies = -2.80 eV/atom

Cell: 5.719 5.719 9.757 Å, 72.96 72.96 60.00°
Sites, in units of the cell vectors:
O  0.778  0.304  0.140
O  0.377  0.377  0.378
Ba  0.712  0.712  0.865
O  0.219  0.697  0.865
O  0.619  0.133  0.629
O  0.619  0.619  0.629
O  0.778  0.778  0.140
O  0.304  0.778  0.140
W  0.577  0.577  0.270
Ba  0.290  0.290  0.129
Ba  0.869  0.869  0.394
O  0.219  0.219  0.865
In  0.000  0.000  0.999
O  0.697  0.219  0.865
W  0.423  0.423  0.731
La  0.141  0.141  0.576
O  0.377  0.867  0.378
O  0.133  0.619  0.629
O  0.867  0.377  0.378



Below is a crystal of AlH2Ir2 relaxed with PBEsol, with properties calculated at the SCAN level.

Calculated values
space group = I4/mmm, No. 139
calculated total energy = -31.60 eV per atom

Cell: 2.936 2.936 5.900 Å, 104.41 104.41 90.00°
Sites, in units of the cell vectors:
H  0.250  0.750  0.500
Al  0.000  0.000  0.000
H  0.750  0.250  0.500
Ir  0.637  0.637  0.273
Ir  0.363  0.363  0.727



Below is a crystal of TiPIrS2 relaxed with PBEsol, with properties calculated at the SCAN level.

Calculated values
space group = P4/mmm, No. 123
formation energy from raw total energies = 0.36 eV/atom

Cell: 4.348 4.719 4.719 Å, 90.00 90.00 90.00°
Each line ends with the local moment (μB).
Sites, in units of the cell vectors:
S  0.000  0.000  0.500  -0.09
P  0.500  0.000  0.000  -0.13
Ti  0.500  0.500  0.500  1.58
Ir  0.000  0.000  0.000  0.00
S  0.000  0.500  0.000  -0.09